Record 1
## PrInB (PBE)

Data for crystalline PrInB at its relaxed geometry.

Summary:
Volume in Å³/cell: 78.9
Energy above the most stable polymorph in this dataset in eV per atom: 0.829
Magnetic moment in μB/cell: 0.0

```
PrInB
1.0
0.000 3.404 3.404
3.404 0.000 3.404
3.404 3.404 0.000
Pr In B
1 1 1
Cartesian
0.000 0.000 0.000
1.702 1.702 1.702
5.105 5.105 5.105
```


Record 2
## PrInB (PBE)

Data for crystalline PrInB at its relaxed geometry.

Summary:
Volume in Å³/cell: 64.7
Energy above the most stable polymorph in this dataset in eV per atom: 0.000
Magnetic moment in μB/cell: 0.0

```
PrInB
1.0
0.000 3.186 3.186
3.186 0.000 3.186
3.186 3.186 0.000
Pr In B
1 1 1
Cartesian
0.000 0.000 0.000
3.186 3.186 3.186
4.779 4.779 4.779
```


Record 3
## InBPt (PBE)

Data for crystalline InBPt at its relaxed geometry.

Summary:
Volume in Å³/cell: 45.8
Energy above the most stable polymorph in this dataset in eV per atom: 0.000
Magnetic moment in μB/cell: 0.0

```
InBPt
1.0
0.000 2.840 2.840
2.840 0.000 2.840
2.840 2.840 0.000
In B Pt
1 1 1
Cartesian
0.000 0.000 0.000
1.420 1.420 1.420
2.840 2.840 2.840
```


Record 4
## InReB4 (PBE)

Data for crystalline InReB4 at its relaxed geometry.

Summary:
Volume in Å³/cell: 58.5
Energy above the most stable polymorph in this dataset in eV per atom: 0.229
Magnetic moment in μB/cell: 0.0

```
InReB4
1.0
-1.523 2.630 3.654
1.523 -2.630 3.654
1.523 2.630 -3.654
In Re B
1 1 4
Cartesian
0.000 0.000 0.000
0.000 0.000 3.654
1.523 -0.862 1.836
1.523 0.862 1.836
0.000 1.767 1.818
0.000 3.492 1.818
```


Record 5
## InReB4 (PBE)

Data for crystalline InReB4 at its relaxed geometry.

Summary:
Volume in Å³/cell: 68.2
Energy above the most stable polymorph in this dataset in eV per atom: 0.000
Magnetic moment in μB/cell: 0.0

```
InReB4
1.0
2.958 0.000 0.000
-1.479 2.562 0.000
0.000 0.000 8.996
In Re B
1 1 4
Cartesian
0.000 0.000 0.000
0.000 0.000 4.498
0.000 1.708 2.802
0.000 1.708 6.195
1.479 0.854 2.802
1.479 0.854 6.195
```


Record 6
## Sm4InB2 (PBE)

Data for crystalline Sm4InB2 at its relaxed geometry.

Summary:
Volume in Å³/cell: 176.4
Final energy in eV per atom: -4.786
Magnetic moment in μB/cell: 0.0

```
Sm4InB2
1.0
4.111 -5.558 0.000
4.111 5.558 0.000
0.000 0.000 3.860
Sm In B
4 1 2
Cartesian
1.737 0.000 1.930
4.111 3.019 0.000
4.111 -3.019 0.000
6.485 0.000 1.930
4.111 0.000 0.000
2.055 2.779 1.930
2.055 -2.779 1.930
```


Record 7
## TaInB (PBE)

Data for crystalline TaInB at its relaxed geometry.

Summary:
Volume in Å³/cell: 57.1
Energy above the most stable polymorph in this dataset in eV per atom: 0.709
Magnetic moment in μB/cell: 0.0

```
TaInB
1.0
0.000 3.056 3.056
3.056 0.000 3.056
3.056 3.056 0.000
Ta In B
1 1 1
Cartesian
0.000 0.000 0.000
1.528 1.528 1.528
4.585 4.585 4.585
```


Record 8
## Ta2InB2 (PBE)

Data for crystalline Ta2InB2 at its relaxed geometry.

Summary:
Volume in Å³/cell: 69.2
Final energy in eV per atom: -8.283
Magnetic moment in μB/cell: 0.0

```
Ta2InB2
1.0
1.499 -7.299 0.000
1.499 7.299 0.000
0.000 0.000 3.161
Ta In B
2 1 2
Cartesian
1.499 5.010 0.000
1.499 -5.010 0.000
1.499 0.000 1.580
1.499 3.223 1.580
1.499 -3.223 1.580
```


Record 9
## Ta4InB3 (PBE)

Data for crystalline Ta4InB3 at its relaxed geometry.

Summary:
Volume in Å³/cell: 230.3
Final energy in eV per atom: -9.283
Magnetic moment in μB/cell: 0.0

```
Ta4InB3
1.0
3.285 0.000 0.000
-1.642 2.845 0.000
0.000 0.000 24.649
Ta In B
8 2 6
Cartesian
0.000 0.000 3.790
0.000 0.000 8.534
0.000 0.000 16.115
0.000 0.000 20.859
0.000 1.896 1.266
0.000 1.896 11.059
1.642 0.948 13.591
1.642 0.948 23.383
0.000 1.896 6.162
1.642 0.948 18.487
0.000 0.000 0.000
0.000 0.000 12.325
0.000 1.896 14.965
0.000 1.896 22.009
1.642 0.948 2.640
1.642 0.948 9.685
```


Record 10
## TaInB (PBE)

Data for crystalline TaInB at its relaxed geometry.

Summary:
Volume in Å³/cell: 48.3
Energy above the most stable polymorph in this dataset in eV per atom: 0.000
Magnetic moment in μB/cell: 0.9

```
TaInB
1.0
0.000 2.890 2.890
2.890 0.000 2.890
2.890 2.890 0.000
Ta In B
1 1 1
Cartesian
0.000 0.000 0.000
2.890 2.890 2.890
4.334 4.334 4.334
```


Record 11
## TbInB (PBE)

Data for crystalline TbInB at its relaxed geometry.

Summary:
Volume in Å³/cell: 57.9
Final energy in eV per atom: -4.680
Magnetic moment in μB/cell: 0.0

```
TbInB
1.0
0.000 3.070 3.070
3.070 0.000 3.070
3.070 3.070 0.000
Tb In B
1 1 1
Cartesian
0.000 0.000 0.000
3.070 3.070 3.070
4.605 4.605 4.605
```


Record 12
## InTcB4 (PBE)

Data for crystalline InTcB4 at its relaxed geometry.

Summary:
Volume in Å³/cell: 68.0
Energy above the most stable polymorph in this dataset in eV per atom: 0.000
Magnetic moment in μB/cell: 0.0

```
InTcB4
1.0
2.966 0.000 0.000
-1.483 2.568 0.000
0.000 0.000 8.923
In Tc B
1 1 4
Cartesian
0.000 0.000 0.000
0.000 0.000 4.462
0.000 1.712 2.775
0.000 1.712 6.148
1.483 0.856 2.775
1.483 0.856 6.148
```


Which formula does entry 8 have? Ta2InB2


magnetic moment of number 7 (TaInB)? 0.0 μB/cell


volume of number 8 (Ta2InB2)? 69.2 Å³/cell